Entry 1:
# CaFeIr2

A geometry-optimized CaFeIr2 structure (PBE-GGA, Alexandria via LeMat-Bulk).

## Properties
Space group: Pmmm
Total DFT energy (no corrections) (Ha/atom): -0.25084
Energy relative to the elements (eV per atom): 0.221
Density (kg/m3): 12408
Crystal system: orthorhombic

```
4
Lattice="-1.909 -1.428 -1.731 3.185 0.060 -3.563 1.684 -3.993 1.438" Properties=species:S:1:pos:R:3 pbc="T T T"
Ir 0.000 0.000 0.000
Ir 0.638 -0.684 -2.647
Ca -0.112 -2.711 -0.146
Fe 2.435 -1.967 -1.062
```

---

Entry 2:
# K2ZrCu

A geometry-optimized K2ZrCu structure (PBE-GGA, Alexandria via LeMat-Bulk).

## Properties
Space group: I-4m2
Total DFT energy (no corrections) (Ha/atom): -0.09661
Energy relative to the elements (eV per atom): 1.081
Density (kg/m3): 3174
Crystal system: tetragonal

```
4
Lattice="-4.414 -0.844 3.286 3.319 -2.121 3.934 1.010 5.070 -2.067" Properties=species:S:1:pos:R:3 pbc="T T T"
K 0.000 0.000 0.000
Cu -1.976 1.371 2.415
K 1.891 0.733 2.739
Zr -0.547 -1.483 3.610
```

---

Entry 3:
# SrYMn

A geometry-optimized SrYMn structure (PBE-GGA, Alexandria via LeMat-Bulk).

## Properties
Space group: P3m1
Total DFT energy (no corrections) (Ha/atom): -0.19291
Energy relative to the elements (eV per atom): 0.523
Density (kg/m3): 4044
Crystal system: trigonal

```
3
Lattice="-0.095 -3.553 -0.990 0.625 0.919 3.518 -7.927 -0.196 1.460" Properties=species:S:1:pos:R:3 pbc="T T T"
Y -5.321 -0.713 3.066
Mn -7.785 -0.192 1.434
Sr -2.216 -2.121 0.948
```

---

Entry 4:
# ReCO2F

A geometry-optimized ReCO2F structure (PBE-GGA, Alexandria via LeMat-Bulk).

## Properties
Space group: P4/mmm
Total DFT energy (no corrections) (Ha/atom): -0.20019
Formation energy without anion corrections (eV/atom): 1.2446
Density (kg/m3): 8307
Crystal system: tetragonal

```
5
Lattice="3.750 0.000 0.000 0.000 3.750 0.000 0.000 0.000 3.543" Properties=species:S:1:pos:R:3 pbc="T T T"
Re 1.875 1.875 1.772
F 0.000 0.000 1.772
O 1.875 0.000 0.000
C 0.000 0.000 0.000
O 0.000 1.875 0.000
```

---

Entry 5:
# K2AgSn3Au4

A geometry-optimized K2AgSn3Au4 structure (PBE-GGA, Alexandria via LeMat-Bulk).

## Properties
Space group: P-4m2
Total DFT energy (no corrections) (Ha/atom): -0.12048
Energy relative to the elements (eV per atom): -0.262
Density (kg/m3): 8385
Crystal system: tetragonal

```
10
Lattice="-0.739 4.012 -2.802 -4.101 1.039 2.569 5.803 5.878 6.887" Properties=species:S:1:pos:R:3 pbc="T T T"
Ag 0.482 5.464 3.327
Au 0.131 2.728 3.873
Sn -1.348 1.231 2.118
K 1.088 3.482 0.329
Sn 2.902 2.939 3.443
Sn 4.732 7.172 4.652
Au -2.420 2.526 -0.116
Au 0.000 0.000 0.000
Au 3.253 5.675 2.898
K 2.296 4.921 6.441
```

---

Entry 6:
# Sr2In12Hg7

A geometry-optimized Sr2In12Hg7 structure (PBE-GGA, Alexandria via LeMat-Bulk).

## Properties
Space group: P-1
Total DFT energy (no corrections) (Ha/atom): -0.07203
Energy relative to the elements (eV per atom): -0.134
Density (kg/m3): 8399
Crystal system: triclinic

```
21
Lattice="-1.210 4.394 -0.891 -11.663 -3.101 0.513 5.730 3.600 9.964" Properties=species:S:1:pos:R:3 pbc="T T T"
In 0.114 5.579 9.042
In -4.105 1.735 8.626
In -10.232 1.142 0.766
Hg -2.549 4.544 8.200
Sr -0.355 2.396 6.606
In -4.070 3.768 5.787
In -3.038 3.157 0.960
In 3.090 3.750 8.820
Hg -1.818 3.857 3.837
In -3.073 1.125 3.799
Hg -4.593 0.348 1.386
In -7.257 -0.687 0.543
Hg 1.512 5.304 6.456
Sr -6.787 2.496 2.980
Hg -0.605 2.197 -0.446
Hg -8.655 -0.412 3.129
Hg -5.325 1.035 5.749
In -7.138 3.295 7.188
In -0.005 1.597 2.398
In -8.147 0.179 6.001
In 1.005 4.714 3.585
```

---

Question: Which value of density does entry 5 give?
Answer: 8385 kg/m3

---

Question: The lowest total DFT energy (no corrections) belongs to which entry?
Answer: CaFeIr2